No. 1
Material: BaCr2Pd
Method: DFT, GGA-PBE
State: optimized geometry

Cell lengths 5.266, 5.266, 9.661 Å; angles 74.18, 74.18, 90.00 degrees
Fractional coordinates of all 8 atoms:
1 Cr 0.375 0.125 0.250
2 Cr 0.375 0.625 0.250
3 Cr 0.375 0.625 0.750
4 Cr 0.875 0.625 0.750
5 Ba 0.000 0.000 0.000
6 Ba 0.750 0.250 0.500
7 Pd 0.500 0.500 0.000
8 Pd 0.250 0.750 0.500

Values from the calculation:
* V: 124 Å³/f.u.
* calculated total energy: -5.853 eV per atom
* D(E_F): 6.7 states/eV/cell
* crystal system: tetragonal
* energy of formation from the pure elements: 0.738 eV per atom


No. 2
Material: BaCrPd
Method: DFT, GGA-PBE
State: optimized geometry

Cell lengths 7.741, 4.442, 6.093 Å; angles 111.24, 123.42, 90.19 degrees
Fractional coordinates of all 6 atoms:
1 Cr 0.827 0.837 0.216
2 Cr 0.668 0.909 0.356
3 Ba 0.435 0.107 0.756
4 Ba 0.110 0.246 0.031
5 Pd 0.948 0.457 0.455
6 Pd 0.681 0.549 0.636

Values from the calculation:
* V: 79 Å³/f.u.
* calculated total energy: -5.387 eV per atom
* D(E_F): 1.9 states/eV/cell
* crystal system: triclinic
* energy of formation from the pure elements: 0.193 eV per atom


No. 3
Material: BaCr3Pd
Method: DFT, GGA-PBE
State: optimized geometry

Cell lengths 4.754, 4.754, 4.754 Å; angles 90.00, 90.00, 90.00 degrees
Fractional coordinates of all 5 atoms:
1 Cr 0.000 0.500 0.000
2 Cr 0.000 0.000 0.500
3 Cr 0.500 0.000 0.000
4 Ba 0.500 0.500 0.500
5 Pd 0.000 0.000 0.000

Values from the calculation:
* V: 107 Å³/f.u.
* calculated total energy: -5.524 eV per atom
* D(E_F): 18.7 states/eV/cell
* crystal system: cubic
* energy of formation from the pure elements: 1.673 eV per atom


No. 4
Material: BaCrPd
Method: DFT, GGA-PBE
State: optimized geometry

Cell lengths 6.114, 6.691, 4.653 Å; angles 69.67, 89.96, 106.62 degrees
Fractional coordinates of all 6 atoms:
1 Cr 0.026 0.396 0.515
2 Cr 0.531 0.823 0.301
3 Ba 0.480 0.376 0.025
4 Ba 0.076 0.843 0.792
5 Pd 0.915 0.187 0.120
6 Pd 0.642 0.032 0.697

Values from the calculation:
* V: 85 Å³/f.u.
* calculated total energy: -5.433 eV per atom
* D(E_F): 4.5 states/eV/cell
* crystal system: monoclinic
* energy of formation from the pure elements: 0.147 eV per atom